Entry 1:
Crystalline TbEr7Tm5 at its relaxed geometry. Source: the Alexandria database, functional PBE-GGA.

D(E_F): 26.6 states/eV/cell
E: -0.3140 Ry/atom
ΔH_f (0 K): 3.39 eV per formula unit
space group: No. 44

a b c (Å): 8.5665 8.5665 8.5665
angles (deg): 134.72 100.03 97.02
Atoms (fractional coordinates):
Tb  0.0000  0.0000  0.0000
Er  0.2268  0.5556  0.6711
Er  0.3070  0.3070  0.0000
Er  0.3843  0.0556  0.3287
Er  0.6146  0.6146  0.0000
Er  0.7269  0.0556  0.6713
Er  0.8050  0.3050  0.5000
Er  0.8845  0.5556  0.3289
Tm  0.0333  0.0389  0.4616
Tm  0.0333  0.5718  0.9945
Tm  0.3059  0.8059  0.5000
Tm  0.5773  0.0389  0.0055
Tm  0.5773  0.5718  0.5384


Entry 2:
Crystalline TbEr3Tm4 at its relaxed geometry. Source: the Alexandria database, functional PBE-GGA.

D(E_F): 11.7 states/eV/cell
energy above the most stable polymorph in this dataset: 28 meV/atom
E: -0.3307 Ry/atom
ΔH_f (0 K): 0.21 eV per formula unit
space group: No. 47

a b c (Å): 3.5009 6.9857 9.8832
angles (deg): 90.00 90.00 90.00
Atoms (fractional coordinates):
Tb  0.0000  0.0000  0.0000
Er  0.0000  0.0000  0.5000
Er  0.0000  0.5000  0.0000
Er  0.0000  0.5000  0.5000
Tm  0.5000  0.2505  0.2508
Tm  0.5000  0.2505  0.7492
Tm  0.5000  0.7495  0.2508
Tm  0.5000  0.7495  0.7492


Entry 3:
Crystalline TbErTm2 at its relaxed geometry. Source: the Alexandria database, functional PBE-GGA.

D(E_F): 9.4 states/eV/cell
energy above the most stable polymorph in this dataset: 134 meV/atom
E: -0.3232 Ry/atom
ΔH_f (0 K): 0.54 eV per formula unit
space group: No. 225

a b c (Å): 5.5963 5.5963 5.5963
angles (deg): 60.00 60.00 60.00
Atoms (fractional coordinates):
Tb  0.0000  0.0000  0.0000
Er  0.5000  0.5000  0.5000
Tm  0.2500  0.2500  0.2500
Tm  0.7500  0.7500  0.7500


Entry 4:
Crystalline Tb4Er3Tm4 at its relaxed geometry. Source: the Alexandria database, functional PBE-GGA.

D(E_F): 19.9 states/eV/cell
energy above the most stable polymorph in this dataset: 39 meV/atom
E: -0.3303 Ry/atom
ΔH_f (0 K): 0.66 eV per formula unit
space group: No. 12

a b c (Å): 17.8750 17.8750 5.5205
angles (deg): 98.88 98.88 11.17
Atoms (fractional coordinates):
Tb  0.0458  0.0458  0.0452
Tb  0.1804  0.1804  0.6800
Tb  0.8196  0.8196  0.3200
Tb  0.9542  0.9542  0.9548
Er  0.3632  0.3632  0.8635
Er  0.5000  0.5000  0.5000
Er  0.6368  0.6368  0.1365
Tm  0.0904  0.0904  0.5897
Tm  0.2335  0.2335  0.2333
Tm  0.7665  0.7665  0.7667
Tm  0.9096  0.9096  0.4103


Entry 5:
Crystalline TbEr4Tm15 at its relaxed geometry. Source: the Alexandria database, functional PBE-GGA.

D(E_F): 27.0 states/eV/cell
E: -0.3287 Ry/atom
ΔH_f (0 K): 0.52 eV per formula unit
space group: No. 123

a b c (Å): 4.9313 4.9313 24.6698
angles (deg): 90.00 90.00 90.00
Atoms (fractional coordinates):
Tb  0.0000  0.0000  0.0000
Er  0.0000  0.0000  0.2004
Er  0.0000  0.0000  0.4002
Er  0.0000  0.0000  0.5998
Er  0.0000  0.0000  0.7996
Tm  0.0000  0.5000  0.1006
Tm  0.0000  0.5000  0.3003
Tm  0.0000  0.5000  0.5000
Tm  0.0000  0.5000  0.6997
Tm  0.0000  0.5000  0.8994
Tm  0.5000  0.0000  0.1006
Tm  0.5000  0.0000  0.3003
Tm  0.5000  0.0000  0.5000
Tm  0.5000  0.0000  0.6997
Tm  0.5000  0.0000  0.8994
Tm  0.5000  0.5000  0.0000
Tm  0.5000  0.5000  0.2005
Tm  0.5000  0.5000  0.4001
Tm  0.5000  0.5000  0.5999
Tm  0.5000  0.5000  0.7995


Entry 6:
Crystalline Tb7Er2Tm2 at its relaxed geometry. Source: the Alexandria database, functional PBE-GGA.

D(E_F): 18.0 states/eV/cell
energy above the most stable polymorph in this dataset: 202 meV/atom
E: -0.3105 Ry/atom
ΔH_f (0 K): 4.01 eV per formula unit
space group: No. 65

a b c (Å): 6.7618 6.7618 9.4717
angles (deg): 90.00 90.00 122.34
Atoms (fractional coordinates):
Tb  0.0000  0.0000  0.0000
Tb  0.0000  0.5000  0.3144
Tb  0.0000  0.5000  0.6856
Tb  0.5000  0.0000  0.3144
Tb  0.5000  0.0000  0.6856
Tb  0.5000  0.5000  0.1856
Tb  0.5000  0.5000  0.8144
Er  0.2500  0.2500  0.5000
Er  0.7500  0.7500  0.5000
Tm  0.2733  0.7267  0.0000
Tm  0.7267  0.2733  0.0000


Entry 7:
Crystalline Tb7Er2Tm3 at its relaxed geometry. Source: the Alexandria database, functional PBE-GGA.

D(E_F): 15.1 states/eV/cell
energy above the most stable polymorph in this dataset: 0 meV/atom
E: -0.3300 Ry/atom
ΔH_f (0 K): 1.08 eV per formula unit
space group: No. 10

a b c (Å): 5.7270 3.5509 18.5341
angles (deg): 90.00 93.75 90.00
Atoms (fractional coordinates):
Tb  0.0000  0.0000  0.0000
Tb  0.1796  0.5000  0.1811
Tb  0.2582  0.5000  0.5358
Tb  0.3232  0.0000  0.8560
Tb  0.6768  0.0000  0.1440
Tb  0.7418  0.5000  0.4642
Tb  0.8204  0.5000  0.8189
Er  0.2950  0.5000  0.7040
Er  0.7050  0.5000  0.2960
Tm  0.2179  0.0000  0.3678
Tm  0.5000  0.5000  0.0000
Tm  0.7821  0.0000  0.6322


Entry 8:
Crystalline TbErTm at its relaxed geometry. Source: the Alexandria database, functional PBE-GGA.

D(E_F): 16.2 states/eV/cell
energy above the most stable polymorph in this dataset: 0 meV/atom
E: -0.3332 Ry/atom
ΔH_f (0 K): 0.06 eV per formula unit
space group: No. 62

a b c (Å): 7.0131 4.9726 10.5237
angles (deg): 90.00 90.00 90.00
Atoms (fractional coordinates):
Tb  0.1249  0.2500  0.0836
Tb  0.3751  0.7500  0.5836
Tb  0.6249  0.2500  0.4164
Tb  0.8751  0.7500  0.9164
Er  0.1248  0.2500  0.7496
Er  0.3752  0.7500  0.2496
Er  0.6248  0.2500  0.7504
Er  0.8752  0.7500  0.2504
Tm  0.1251  0.2500  0.4168
Tm  0.3749  0.7500  0.9168
Tm  0.6251  0.2500  0.0832
Tm  0.8749  0.7500  0.5832